A geometry-optimized NpZnOs2 structure, computed with PBE.

The crystal system is tetragonal. Its density is 17.38 Mg/m³.

Cell lengths 4.209, 4.209, 3.683 Å; angles 90.00, 90.00, 90.00 degrees
Atoms (fractional coordinates):
Np  0.000  0.000  0.000
Zn  0.500  0.500  0.000
Os  0.000  0.500  0.500
Os  0.500  0.000  0.500

=====

A geometry-optimized Np2ZnOs structure, computed with PBE.

The crystal system is trigonal. The calculation puts the relative energy among the computed polymorphs at 251 meV per atom. Its density is 15.74 Mg/m³.

Cell lengths 2.821, 2.821, 33.510 Å; angles 90.00, 90.00, 120.00 degrees
Atoms (fractional coordinates):
Np  0.000  0.000  0.093
Np  0.000  0.000  0.907
Np  0.333  0.667  0.574
Np  0.333  0.667  0.759
Np  0.667  0.333  0.241
Np  0.667  0.333  0.426
Zn  0.000  0.000  0.000
Zn  0.333  0.667  0.667
Zn  0.667  0.333  0.333
Os  0.000  0.000  0.500
Os  0.333  0.667  0.167
Os  0.667  0.333  0.833

=====

A geometry-optimized Zr2NpOs structure, computed with PBE.

The crystal system is cubic. The calculation puts the relative energy among the computed polymorphs at 201 meV per atom. Its density is 12.92 Mg/m³.

Cell lengths 6.793, 6.793, 6.793 Å; angles 90.00, 90.00, 90.00 degrees
Atoms (fractional coordinates):
Zr  0.250  0.250  0.250
Zr  0.250  0.250  0.750
Zr  0.250  0.750  0.250
Zr  0.250  0.750  0.750
Zr  0.750  0.250  0.250
Zr  0.750  0.250  0.750
Zr  0.750  0.750  0.250
Zr  0.750  0.750  0.750
Np  0.000  0.000  0.000
Np  0.000  0.500  0.500
Np  0.500  0.000  0.500
Np  0.500  0.500  0.000
Os  0.000  0.000  0.500
Os  0.000  0.500  0.000
Os  0.500  0.000  0.000
Os  0.500  0.500  0.500

=====

Calculated calculated total energy (eV per atom), listed in the same order as above: -9.055; -9.181; -10.143